Compound: Nd4Sm4Ho3
Source: Alexandria
Functional: PBE
Structure: relaxed

Geometry as POSCAR:
```
Nd4Sm4Ho3
1.0
3.5652 -0.0001 0.0024
0.0001 5.7114 0.0013
1.7737 2.8315 18.0762
Nd Sm Ho
4 4 3
Direct
0.3199 0.8198 0.3597
0.4538 0.4524 0.0921
0.5462 0.5476 0.9080
0.6802 0.1802 0.6403
0.4094 0.9083 0.1809
0.5906 0.0918 0.8191
0.2674 0.2671 0.4655
0.7327 0.7329 0.5344
0.1365 0.6367 0.7277
0.8636 0.3634 0.2723
0.0000 0.0000 0.0000
```

Total magnetic moment: 0.00 Bohr magnetons per cell
Excess energy over the best structure of this formula in the dataset: 0 meV per atom
Formation energy: 0.0547 eV per atom
Space group: P-1